Record 1
A relaxed PrPuSe2 crystal. Source: Alexandria, functional PBE.

a = 5.165 Å, b = 5.165 Å, c = 5.165 Å
α = 60.00°, β = 60.00°, γ = 60.00°
Last column: magnetic moment on the atom in μB.
Atoms (fractional coordinates):
Se 0.250 0.250 0.250  -0.06
Pu 0.000 0.000 0.000  5.67
Pr 0.500 0.500 0.500  0.42
Se 0.750 0.750 0.750  -0.06

Spin magnetization, μB/f.u.: 6.7
DOS at the Fermi energy, states/eV per cell: 5.457
Crystal system: cubic
Energy, eV per atom: -7.96
V, Å³/cell: 97
Space-group type: Fm-3m

Record 2
A relaxed Re2Mo2As crystal. Source: Alexandria, functional PBE.

a = 7.604 Å, b = 7.604 Å, c = 2.909 Å
α = 90.00°, β = 90.00°, γ = 90.00°
Atoms (fractional coordinates):
Re 0.140 0.360 0.000
Mo 0.651 0.849 0.500
Mo 0.849 0.349 0.500
As 0.500 0.500 0.000
Re 0.640 0.140 0.000
Mo 0.349 0.151 0.500
Mo 0.151 0.651 0.500
Re 0.860 0.640 0.000
As 0.000 0.000 0.000
Re 0.360 0.860 0.000

Spin magnetization, μB/f.u.: 0.0
ΔE_f, eV per atom: 0.425
DOS at the Fermi energy, states/eV per cell: 7.885
Crystal system: tetragonal
Energy, eV per atom: -9.82
V, Å³/cell: 168
Space-group type: P4/mbm

Record 3
A relaxed TcRhBr2 crystal. Source: Alexandria, functional PBE.

a = 3.505 Å, b = 3.159 Å, c = 8.160 Å
α = 77.87°, β = 90.00°, γ = 90.00°
Atoms (fractional coordinates):
Br 0.000 0.840 0.919
Rh 0.000 0.547 0.539
Tc 0.500 0.965 0.689
Br 0.500 0.147 0.354

Spin magnetization, μB/f.u.: 0.0
DOS at the Fermi energy, states/eV per cell: 2.156
Crystal system: monoclinic
Energy, eV per atom: -5.10
V, Å³/cell: 88
Space-group type: Pm

Record 4
A relaxed Mg2PbSe crystal. Source: Alexandria, functional PBE.

a = 5.410 Å, b = 5.410 Å, c = 5.410 Å
α = 128.11°, β = 128.11°, γ = 76.45°
Atoms (fractional coordinates):
Mg 0.000 0.000 0.000
Se 0.750 0.250 0.500
Mg 0.500 0.500 0.000
Pb 0.250 0.750 0.500

Spin magnetization, μB/f.u.: 0.0
DOS at the Fermi energy, states/eV per cell: 1.861
Crystal system: tetragonal
Energy, eV per atom: -2.76
V, Å³/cell: 95
Space-group type: I4/mmm

Record 5
A relaxed Sn2TeAs crystal. Source: Alexandria, functional PBE.

a = 7.427 Å, b = 7.577 Å, c = 9.492 Å
α = 106.21°, β = 105.60°, γ = 107.86°
Atoms (fractional coordinates):
Sn 0.042 0.272 0.126
Sn 0.958 0.728 0.874
As 0.684 0.934 0.868
Te 0.433 0.683 0.366
As 0.059 0.809 0.617
Sn 0.822 0.052 0.625
Sn 0.178 0.948 0.375
Sn 0.416 0.146 0.874
Sn 0.697 0.427 0.375
Te 0.567 0.317 0.634
Sn 0.303 0.573 0.625
Te 0.808 0.558 0.116
Te 0.192 0.442 0.884
As 0.941 0.191 0.383
Sn 0.584 0.854 0.126
As 0.316 0.066 0.132

Spin magnetization, μB/f.u.: 0.0
DOS at the Fermi energy, states/eV per cell: 9.888
Crystal system: monoclinic
Energy, eV per atom: -4.08
V, Å³/cell: 450
Space-group type: C2/c

Record 6
A relaxed HgPtN2F crystal. Source: Alexandria, functional PBE.

a = 3.727 Å, b = 3.727 Å, c = 6.853 Å
α = 90.00°, β = 90.00°, γ = 90.00°
Atoms (fractional coordinates):
N 0.000 0.500 0.000
N 0.500 0.000 0.000
Hg 0.500 0.500 0.500
Pt 0.000 0.000 0.000
F 0.000 0.000 0.500

Spin magnetization, μB/f.u.: 0.0
DOS at the Fermi energy, states/eV per cell: 4.081
Crystal system: tetragonal
Energy, eV per atom: -4.26
V, Å³/cell: 95
Space-group type: P4/mmm